This record from Alexandria describes an optimized crystal structure of U2Fe3C2. The functional is GGA-PBE.

Computed properties:
**Formation energy from the elements**: 0.041 eV/atom
**Magnetic moment**: 1.7 μB per formula unit
**DOS at the Fermi energy**: 15.3 states/eV/cell

a b c (Å): 9.3989 3.1407 6.4460
angles (deg): 90.00 118.85 90.00
With the nearest neighbours (Å) after each atom.
Positions (direct):
U  0.1552  0.0000  0.3129  4 C 2.57-2.74, 2 U 2.70, 7 Fe 2.78-2.86
U  0.3448  0.5000  0.6871  4 C 2.57-2.74, 2 U 2.70, 7 Fe 2.78-2.86
U  0.6552  0.5000  0.3129  4 C 2.57-2.74, 2 U 2.70, 7 Fe 2.78-2.86
U  0.8448  0.0000  0.6871  4 C 2.57-2.74, 2 U 2.70, 7 Fe 2.78-2.86
Fe  0.0000  0.5000  0.5000  4 C 2.14
Fe  0.1287  0.5000  0.9391  3 C 2.12-2.17
Fe  0.3713  0.0000  0.0609  3 C 2.12-2.17
Fe  0.5000  0.0000  0.5000  4 C 2.14
Fe  0.6287  0.0000  0.9391  3 C 2.12-2.17
Fe  0.8713  0.5000  0.0609  3 C 2.12-2.17
C  0.1441  0.0000  0.7300  5 Fe 2.12-2.17
C  0.3559  0.5000  0.2700  5 Fe 2.12-2.17
C  0.6441  0.5000  0.7300  5 Fe 2.12-2.17
C  0.8559  0.0000  0.2700  5 Fe 2.12-2.17

***

This record from Alexandria describes an optimized crystal structure of UFe3C. The functional is GGA-PBE.

Computed properties:
**Formation energy from the elements**: -0.049 eV/atom
**Magnetic moment**: 0.2 μB per formula unit
**DOS at the Fermi energy**: 4.9 states/eV/cell

a b c (Å): 3.8966 3.8966 3.8966
angles (deg): 90.00 90.00 90.00
With the nearest neighbours (Å) after each atom.
Positions (direct):
U  0.0000  0.0000  0.0000  12 Fe 2.76
Fe  0.0000  0.5000  0.5000  2 C 1.95
Fe  0.5000  0.0000  0.5000  2 C 1.95
Fe  0.5000  0.5000  0.0000  2 C 1.95
C  0.5000  0.5000  0.5000  6 Fe 1.95

***

This record from Alexandria describes an optimized crystal structure of UFeC. The functional is GGA-PBE.

Computed properties:
**Formation energy from the elements**: -0.058 eV/atom
**Energy above the most stable polymorph in this dataset**: 0 meV per atom
**Magnetic moment**: 0.0 μB per formula unit
**DOS at the Fermi energy**: 3.5 states/eV/cell

a b c (Å): 3.5755 3.5755 3.4212
angles (deg): 90.00 90.00 120.00
With the nearest neighbours (Å) after each atom.
Positions (direct):
U  0.0000  0.0000  0.0000  6 C 2.57-2.80, 6 Fe 2.60-2.77
Fe  0.6667  0.3333  0.4610  3 C 2.09
C  0.3333  0.6667  0.5532  3 Fe 2.09

***

This record from Alexandria describes an optimized crystal structure of UFeC. The functional is GGA-PBE.

Computed properties:
**Formation energy from the elements**: 0.394 eV/atom
**Energy above the most stable polymorph in this dataset**: 452 meV per atom
**Magnetic moment**: 0.3 μB per formula unit
**DOS at the Fermi energy**: 9.4 states/eV/cell

a b c (Å): 3.6736 3.6531 7.4155
angles (deg): 90.00 90.00 90.00
With the nearest neighbours (Å) after each atom.
Positions (direct):
U  0.0000  0.0000  0.0000  3 C 2.28-2.34
U  0.0000  0.5000  0.5000  3 C 2.28-2.34
Fe  0.5000  0.0000  0.2551  2 C 1.89
Fe  0.5000  0.5000  0.7551  2 C 1.89
C  0.0000  0.0000  0.3156  2 Fe 1.89
C  0.0000  0.5000  0.8156  2 Fe 1.89